# Na2CrP2O7

Na2CrP2O7 after structural relaxation (GGA+U, Alexandria).

Its mass density is 2.63 g/cm3. The calculation puts the density of states at the Fermi level at 6.30 states/eV/f.u. The volume comes out at 514 Å³ per cell. Its crystal system is trigonal. The total energy is -6.6777 eV per atom.

Unit cell a=5.4246 b=5.4246 c=20.1732 alpha=90.00 beta=90.00 gamma=120.00
Space group R32 (No. 155, hexagonal axes)
Inequivalent atoms, fractional coordinates:
Na 0.0000 0.0000 0.2397 x6
Cr 0.0000 0.0000 0.5000 x3
P 0.0000 0.0000 0.0795 x6
O 0.0000 0.0000 0.0000 x3
O 0.0296 0.4478 0.7671 x18